(1)
Material: La4Ta3N10
Method: DFT, PBE-GGA
State: optimized geometry

Structure (extended XYZ):
```
17
Lattice="-3.1835 1.9279 1.7253 1.0072 -1.5963 3.6422 9.5206 11.3346 0.0246" Properties=species:S:1:pos:R:3 pbc="T T T"
La 0.1201 1.8137 3.0718
La 7.2242 9.8526 2.3203
La 5.0107 6.8338 1.6094
La 2.3336 4.8325 3.7828
Ta 2.4126 3.2904 0.7749
Ta 4.9316 8.3759 4.6173
Ta 0.0000 0.0000 0.0000
N 2.8496 2.4014 2.5746
N 1.1843 1.6152 0.3804
N 0.7542 4.1635 1.6162
N 4.4947 9.2649 2.8176
N 6.5901 7.5028 3.7760
N 6.1600 10.0511 5.0118
N 3.6089 4.9219 1.1591
N 3.7354 6.7444 4.2331
N 0.5036 -0.7981 1.8211
N -1.5918 0.9640 0.8627
```

Results
The energy relative to the elements, uncorrected is -1.12 eV per atom. The space group is I4/mmm (139).

(2)
Material: LaTaN3
Method: DFT, PBE-GGA
State: optimized geometry

Structure (extended XYZ):
```
10
Lattice="-4.5539 -3.2484 -1.3418 2.4334 -0.5286 -5.2131 -1.3695 -4.9133 3.3138" Properties=species:S:1:pos:R:3 pbc="T T T"
N -0.5763 -2.5087 0.3931
N -3.3402 -6.4805 -3.1936
N -2.4335 -4.8561 -0.0132
N -1.3346 -3.2098 -3.6243
N -1.4431 -4.2603 -2.6134
N 0.3316 -0.2168 -1.0517
Ta 0.5277 -3.9631 -3.7376
Ta -3.2964 -5.0148 -1.8266
La 0.0613 -5.1146 -0.6390
La -3.3236 -6.6179 1.4623
```

Results
The energy relative to the elements, uncorrected is -1.12 eV per atom. The space group is P1 (1).